# Cs2UCdSe4

A relaxed Cs2UCdSe4 crystal (PBE, Alexandria).

Geometry as CIF:
```
data_Cs2UCdSe4
_cell_length_a 6.668
_cell_length_b 8.372
_cell_length_c 13.701
_cell_angle_alpha 84.44
_cell_angle_beta 75.92
_cell_angle_gamma 66.53
_space_group_name_H-M_alt 'P 1'
_space_group_IT_number 1
loop_
_space_group_symop_operation_xyz
'x,y,z'
loop_
_atom_site_label
_atom_site_fract_x
_atom_site_fract_y
_atom_site_fract_z
U1 0.000 0.000 0.000
U2 0.750 0.500 0.500
Cs1 0.570 0.500 0.859
Cs2 0.930 0.500 0.141
Cs3 0.820 0.000 0.359
Cs4 0.180 0.000 0.641
Se1 0.910 0.794 0.893
Se2 0.840 0.706 0.607
Se3 0.197 0.206 0.893
Se4 0.296 0.794 0.107
Se5 0.454 0.706 0.393
Se6 0.153 0.294 0.393
Se7 0.553 0.294 0.607
Se8 0.597 0.206 0.107
Cd1 0.250 0.500 0.500
Cd2 0.500 0.000 0.000
```

Calculated values
* energy relative to the elements, uncorrected: -7.81 eV/f.u.
* E: -4.458 eV per atom
* calculated density: 4549 kg/m3
* N(E_F): 0.931 states/eV/atom